DFT (GGA-PBE) results for a relaxed structure of Pr2GaRu2.

The structure in extended XYZ format:
```
10
Lattice="-4.8280 -2.1939 -2.2744 -0.1978 -1.6201 -5.5347 1.2349 -7.8891 0.3652" Properties=species:S:1:pos:R:3 pbc="T T T"
Pr -2.3118 -2.5778 -2.2287
Pr -3.5022 -5.3550 -4.4081
Pr -1.4792 -9.1253 -5.2152
Pr -0.2888 -6.3482 -3.0358
Ga -0.4218 -3.6584 -5.0683
Ga -3.3692 -8.0448 -2.3756
Ru -2.7919 -5.6338 -1.4966
Ru -3.6062 -10.4136 -3.4943
Ru -0.9991 -6.0694 -5.9473
Ru -0.1848 -1.2896 -3.9496
```

Calculated values
crystal system = monoclinic
ΔE_f = -1.77 eV per formula unit

***

DFT (GGA-PBE) results for a relaxed structure of TaAlCd2Au.

The structure in extended XYZ format:
```
5
Lattice="-2.1760 -3.4453 -2.6175 3.9217 -2.9244 0.5892 -1.9655 -1.8231 4.0336" Properties=species:S:1:pos:R:3 pbc="T T T"
Cd -0.9828 -0.9115 2.0168
Cd -1.0880 -1.7227 -1.3088
Au -0.1099 -4.0964 1.0026
Al 0.0000 0.0000 0.0000
Ta 1.9608 -1.4622 0.2946
```

Calculated values
crystal system = tetragonal
ΔE_f = 4.69 eV per formula unit

***

DFT (GGA-PBE) results for a relaxed structure of AcYMgOs.

The structure in extended XYZ format:
```
4
Lattice="5.2308 0.0000 0.0000 2.6154 4.5300 0.0000 2.6154 1.5100 4.2709" Properties=species:S:1:pos:R:3 pbc="T T T"
Y 0.0000 0.0000 0.0000
Ac 5.2308 3.0200 2.1354
Os 2.6154 1.5100 1.0677
Mg 7.8461 4.5300 3.2032
```

Calculated values
crystal system = cubic
ΔE_f = 0.34 eV per formula unit